Density functional theory data (PBE) for a relaxed structure of Cs3MgSb2.

Properties
Relative energy among the computed polymorphs = 0.111 eV per atom
ΔE_f (raw) = -163 kJ/mol of formula units

a = 4.010 Å, b = 10.956 Å, c = 14.344 Å
α = 72.57°, β = 81.96°, γ = 79.45°
Positions (direct):
Cs  0.033  0.164  0.771
Cs  0.967  0.836  0.229
Cs  0.662  0.689  0.987
Cs  0.338  0.311  0.013
Cs  0.764  0.845  0.627
Cs  0.236  0.155  0.373
Mg  0.436  0.502  0.627
Mg  0.564  0.498  0.373
Sb  0.854  0.503  0.789
Sb  0.146  0.497  0.211
Sb  0.588  0.277  0.547
Sb  0.412  0.723  0.453



Density functional theory data (PBE) for a relaxed structure of Cs3MgSb2.

Properties
Relative energy among the computed polymorphs = 0.000 eV per atom
ΔE_f (raw) = -228 kJ/mol of formula units

a = 9.350 Å, b = 7.576 Å, c = 10.273 Å
α = 111.64°, β = 117.07°, γ = 90.00°
Site moments in Bohr magnetons follow the coordinates.
Positions (direct):
Cs  0.374  0.677  0.355  0.01
Cs  0.626  0.323  0.645  0.01
Cs  0.019  0.823  0.645  0.01
Cs  0.981  0.177  0.355  0.01
Cs  0.500  0.750  0.000  0.01
Cs  0.500  0.250  0.000  0.01
Mg  0.000  0.250  0.000  0.00
Mg  0.000  0.750  0.000  0.00
Sb  0.273  0.092  0.183  0.10
Sb  0.727  0.908  0.817  0.10
Sb  0.090  0.408  0.817  0.10
Sb  0.910  0.592  0.183  0.10



Density functional theory data (PBE) for a relaxed structure of CsMg2Sb.

Properties
ΔE_f (raw) = -7 kJ/mol of formula units

a = 6.075 Å, b = 6.075 Å, c = 10.833 Å
α = 73.72°, β = 73.72°, γ = 90.00°
Positions (direct):
Cs  0.000  0.000  0.000
Cs  0.750  0.250  0.500
Sb  0.500  0.500  0.000
Sb  0.250  0.750  0.500
Mg  0.375  0.125  0.250
Mg  0.375  0.625  0.250
Mg  0.375  0.625  0.750
Mg  0.875  0.625  0.750



Density functional theory data (PBE) for a relaxed structure of Cs2MgSb.

Properties
Relative energy among the computed polymorphs = 0.000 eV per atom
ΔE_f (raw) = 16 kJ/mol of formula units

a = 6.460 Å, b = 6.460 Å, c = 6.460 Å
α = 60.00°, β = 60.00°, γ = 60.00°
Positions (direct):
Cs  0.250  0.250  0.250
Cs  0.750  0.750  0.750
Sb  0.500  0.500  0.500
Mg  0.000  0.000  0.000



Density functional theory data (PBE) for a relaxed structure of CsMg6Sb.

Properties
ΔE_f (raw) = 64 kJ/mol of formula units

a = 9.297 Å, b = 9.297 Å, c = 4.293 Å
α = 90.00°, β = 90.00°, γ = 137.32°
Positions (direct):
Cs  0.720  0.280  0.500
Mg  0.634  0.795  0.500
Mg  0.205  0.366  0.500
Mg  0.141  0.859  0.500
Mg  0.793  0.693  0.000
Mg  0.307  0.207  0.000
Mg  0.298  0.702  0.000
Sb  0.902  0.098  0.000



Density functional theory data (PBE) for a relaxed structure of CsMgSbSe3.

Properties
ΔE_f (raw) = -519 kJ/mol of formula units

a = 4.295 Å, b = 9.949 Å, c = 10.495 Å
α = 109.09°, β = 90.00°, γ = 90.00°
Positions (direct):
Cs  0.250  0.199  0.234
Cs  0.750  0.801  0.766
Mg  0.250  0.093  0.609
Mg  0.750  0.907  0.391
Sb  0.250  0.659  0.127
Sb  0.750  0.341  0.873
Se  0.750  0.856  0.132
Se  0.250  0.144  0.868
Se  0.250  0.817  0.477
Se  0.750  0.183  0.523
Se  0.750  0.454  0.139
Se  0.250  0.546  0.861



Density functional theory data (PBE) for a relaxed structure of CsMgSnSb2.

Properties
ΔE_f (raw) = -171 kJ/mol of formula units

a = 4.947 Å, b = 4.947 Å, c = 8.589 Å
α = 106.74°, β = 106.74°, γ = 90.00°
Positions (direct):
Cs  0.000  0.000  0.000
Mg  0.750  0.250  0.500
Sn  0.250  0.750  0.500
Sb  0.645  0.645  0.290
Sb  0.355  0.355  0.710



Density functional theory data (PBE) for a relaxed structure of Cs2SrMgSb2.

Properties
ΔE_f (raw) = -392 kJ/mol of formula units

a = 7.687 Å, b = 7.668 Å, c = 10.342 Å
α = 111.76°, β = 111.82°, γ = 90.00°
Positions (direct):
Cs  0.447  0.179  0.358
Cs  0.553  0.821  0.642
Cs  0.088  0.321  0.642
Cs  0.912  0.679  0.358
Sr  0.000  0.750  0.000
Sr  0.000  0.250  0.000
Mg  0.500  0.750  0.000
Mg  0.500  0.250  0.000
Sb  0.812  0.091  0.182
Sb  0.371  0.591  0.182
Sb  0.629  0.409  0.818
Sb  0.188  0.909  0.818



Density functional theory data (PBE) for a relaxed structure of CsMgSbTe3.

Properties
ΔE_f (raw) = -391 kJ/mol of formula units

a = 4.570 Å, b = 10.406 Å, c = 11.141 Å
α = 110.64°, β = 90.00°, γ = 90.00°
Positions (direct):
Cs  0.250  0.209  0.245
Cs  0.750  0.791  0.755
Mg  0.250  0.088  0.612
Mg  0.750  0.912  0.388
Sb  0.250  0.666  0.125
Sb  0.750  0.334  0.875
Te  0.750  0.870  0.125
Te  0.250  0.130  0.875
Te  0.250  0.799  0.463
Te  0.750  0.201  0.537
Te  0.750  0.468  0.150
Te  0.250  0.532  0.850



Density functional theory data (PBE) for a relaxed structure of Cs2MgTlSb2.

Properties
ΔE_f (raw) = -251 kJ/mol of formula units

a = 7.397 Å, b = 7.356 Å, c = 10.282 Å
α = 110.96°, β = 111.08°, γ = 90.00°
Positions (direct):
Cs  0.405  0.171  0.343
Cs  0.595  0.829  0.657
Cs  0.063  0.329  0.657
Cs  0.937  0.671  0.343
Mg  0.500  0.750  0.000
Mg  0.500  0.250  0.000
Tl  0.000  0.750  0.000
Tl  0.000  0.250  0.000
Sb  0.818  0.094  0.187
Sb  0.369  0.594  0.187
Sb  0.631  0.406  0.813
Sb  0.182  0.906  0.813



Density functional theory data (PBE) for a relaxed structure of CsMg2Sc.

Properties
DFT formation energy = 552 meV/atom

a = 5.773 Å, b = 5.773 Å, c = 5.773 Å
α = 60.00°, β = 60.00°, γ = 60.00°
Positions (direct):
Cs  0.500  0.500  0.500
Sc  0.000  0.000  0.000
Mg  0.250  0.250  0.250
Mg  0.750  0.750  0.750



Density functional theory data (PBE) for a relaxed structure of Cs2MgSc.

Properties
DFT formation energy = 816 meV/atom

a = 8.549 Å, b = 8.549 Å, c = 8.549 Å
α = 100.40°, β = 100.40°, γ = 129.70°
Site moments in Bohr magnetons follow the coordinates.
Positions (direct):
Cs  0.625  0.150  0.025  0.02
Cs  0.125  0.600  0.975  0.02
Cs  0.850  0.875  0.475  0.02
Cs  0.400  0.375  0.525  0.02
Mg  0.500  0.500  0.000  0.01
Mg  0.750  0.250  0.500  0.01
Sc  0.000  0.000  0.000  0.82
Sc  0.250  0.750  0.500  0.82



Number 1: M_tot 0.0 μB/cell. Number 2: M_tot 1.2 μB/cell. Number 3: M_tot 0.0 μB/cell. Number 4: M_tot 0.0 μB/cell. Number 5: M_tot 0.0 μB/cell. Number 6: M_tot 0.0 μB/cell. Number 7: M_tot 0.0 μB/cell. Number 8: M_tot 0.0 μB/cell. Number 9: M_tot 0.0 μB/cell. Number 10: M_tot 0.0 μB/cell. Number 11: M_tot 0.0 μB/cell. Number 12: M_tot 3.6 μB/cell.